The following is a DFT calculation (PBE-GGA) of a relaxed CrFe2W crystal. Values from VASP.

## Properties
* total magnetization: 9.378 μB/cell
* E above lowest polymorph: 623 meV/atom
* final energy: -36.6 eV per formula unit
* D(E_F): 0.97 states/eV per atom
* energy of formation: 0.729 eV/atom

The structure in Quantum ESPRESSO input format:
```
&SYSTEM
  ibrav = 0, nat = 8, ntyp = 3
/
ATOMIC_SPECIES
Fe 55.84 Fe.upf
Cr 52.00 Cr.upf
W 183.84 W.upf
CELL_PARAMETERS angstrom
-0.515 2.977 1.702
-3.109 -1.132 1.039
1.999 -2.688 8.840
ATOMIC_POSITIONS crystal
Fe 0.875 0.864 0.750
Fe 0.136 0.625 0.250
Fe 0.614 0.125 0.250
Fe 0.375 0.386 0.750
Cr 0.500 0.500 0.000
Cr 0.250 0.750 0.500
W 0.000 0.000 0.000
W 0.750 0.250 0.500
```